# ThCoIrO6

A relaxed structure of ThCoIrO6 (GGA+U, Alexandria via LeMat-Bulk).

Cell: 4.914 4.914 9.812 Å, 90.00 90.00 90.00°
Fractional positions:
1 Th 0.000 0.000 0.000
2 Th 0.500 0.500 0.500
3 Co 0.000 0.000 0.334
4 Co 0.500 0.500 0.834
5 Ir 0.000 0.000 0.667
6 Ir 0.500 0.500 0.167
7 O 0.175 0.175 0.508
8 O 0.200 0.200 0.810
9 O 0.220 0.220 0.176
10 O 0.280 0.720 0.676
11 O 0.300 0.700 0.310
12 O 0.325 0.675 0.008
13 O 0.675 0.325 0.008
14 O 0.700 0.300 0.310
15 O 0.720 0.280 0.676
16 O 0.780 0.780 0.176
17 O 0.800 0.800 0.810
18 O 0.825 0.825 0.508

space group = No. 102
total magnetization = 5.8 μB per formula unit
volume = 237 Å³/cell
raw total energy = -7.33 eV per atom